La4Nd2Dy | GGA-PBE | relaxed

Computed properties:
Its space-group type is P1. For the final energy, the calculation gives -66.8 eV per cell. The calculation puts the density at 6.63 g/cm³. The offset from the most stable computed form is 0.000 eV/atom. For the calculated formation energy, the calculation gives 0.062 eV per atom.

```
La4Nd2Dy
1.0
8.5566 1.9548 -1.5492
-3.0340 5.8666 -2.0454
1.1970 0.8239 8.5452
Dy Nd La
2 4 8
Cartesian
3.1982 4.0873 2.4704 Dy
0.7316 1.5477 7.2946 Dy
2.9027 6.1098 -0.3644 Nd
3.7580 3.9809 6.1290 Nd
0.5919 3.8929 4.5929 Nd
5.3765 3.4113 -0.1533 Nd
5.9204 6.3709 1.7219 La
2.7067 0.8861 0.3474 La
8.6487 2.5197 0.8735 La
0.1484 6.8741 2.3045 La
6.4864 3.2132 3.4966 La
0.0988 3.7094 0.5403 La
6.6222 6.2039 5.4162 La
3.3435 7.1433 4.3815 La
```

***

LaNd4Dy5 | GGA-PBE | relaxed

Computed properties:
Its space-group type is C2/m. For the final energy, the calculation gives -46.8 eV per cell. The calculation puts the density at 7.57 g/cm³. For the calculated formation energy, the calculation gives 0.017 eV per atom.

```
LaNd4Dy5
1.0
0.4443 2.9933 -1.9963
-5.5478 -1.9699 -4.1834
-7.3235 2.3288 11.7312
La Nd Dy
1 4 5
Cartesian
0.2222 1.4967 -0.9981 La
-5.7929 -0.1772 -1.5584 Nd
-9.3815 2.5597 5.0352 Nd
-6.6341 3.5294 7.1099 Nd
-3.0455 0.7925 0.5163 Nd
-6.2465 0.0753 2.0146 Dy
-3.4679 1.0559 4.1007 Dy
-8.9591 2.2964 1.4508 Dy
-2.5517 0.5117 -3.0898 Dy
-6.1805 3.2770 3.5369 Dy
```

***

LaNd8Dy2 | GGA-PBE | relaxed

Computed properties:
Its space-group type is Immm. For the final energy, the calculation gives -51.1 eV per cell. The calculation puts the density at 6.94 g/cm³. The offset from the most stable computed form is 0.000 eV/atom. For the calculated formation energy, the calculation gives 0.105 eV per atom.

```
LaNd8Dy2
1.0
5.4622 0.0000 -1.6586
-1.0296 7.6248 -3.3908
-0.0903 -0.4112 9.5262
La Nd Dy
1 8 2
Cartesian
2.7311 0.0000 -0.8293 La
2.6010 6.3172 -1.2576 Nd
1.3219 4.0036 4.3534 Nd
0.6906 1.1051 2.2742 Nd
5.0683 1.8367 6.8676 Nd
3.6517 6.1085 2.2025 Nd
3.0204 3.2100 0.1234 Nd
1.7412 0.8965 5.7344 Nd
-0.7260 5.3769 -2.3909 Nd
0.3355 5.1722 1.1048 Dy
4.0068 2.0414 3.3720 Dy
```

***

La10Nd4Dy | GGA-PBE | relaxed

Computed properties:
Its space-group type is I4/mmm. For the final energy, the calculation gives -69.1 eV per cell. The calculation puts the density at 6.61 g/cm³. For the calculated formation energy, the calculation gives 0.256 eV per atom.

```
La10Nd4Dy
1.0
-5.6473 -7.5973 0.7362
1.4227 -7.4396 -4.6325
1.4600 -6.4436 5.9313
La Nd Dy
10 4 1
Cartesian
0.0295 -8.8410 0.8334 La
-1.0876 -12.6490 4.9425 La
-0.5662 -3.2590 1.8920 La
-0.2282 -15.5711 -0.1138 La
-3.6472 -11.4822 -2.6507 La
-1.6770 -8.8316 -2.9075 La
-2.7941 -12.6396 1.2016 La
0.8826 -9.9984 4.6857 La
-2.5364 -5.9096 2.1488 La
-2.1984 -18.2216 0.1430 La
0.3459 -12.0138 1.1313 Nd
-4.1982 -14.3373 3.5258 Nd
1.4336 -7.1433 -1.4908 Nd
-3.1104 -9.4668 0.9037 Nd
0.0000 0.0000 0.0000 Dy
```